Entry from Alexandria: an optimized crystal structure of TlHgMo2 (PBE-GGA).

Calculated values
DFT formation energy	699	meV per atom
excess energy over the best structure of this formula in the dataset	240	meV per atom
V	20.23	A^3/atom
magnetic moment	0.00	μB per cell

abc: 5.2083 5.2083 5.1618
angles: 75.76 75.76 36.76
Closest atoms and distances in Å follow each position.
Fractional positions:
Hg1 0.7500 0.7500 0.7500  6 Mo 2.87-2.91, 4 Tl 3.06
Mo1 0.0001 0.0001 0.9341  2 Mo 2.51
Mo2 0.4999 0.4999 0.5659  2 Mo 2.51
Tl1 0.2500 0.2500 0.2500  4 Hg 3.06, 6 Mo 3.06-3.29, 2 Tl 3.28

Entry from Alexandria: an optimized crystal structure of TlHgMo2 (PBE-GGA).

Calculated values
DFT formation energy	743	meV per atom
excess energy over the best structure of this formula in the dataset	284	meV per atom
V	19.47	A^3/atom
magnetic moment	0.00	μB per cell

abc: 4.8135 2.9230 5.5788
angles: 82.79 90.00 90.00
Closest atoms and distances in Å follow each position.
Fractional positions:
Hg1 0.5000 0.7500 0.7500  4 Mo 2.90, 2 Hg 2.92, 2 Tl 2.98
Mo1 0.0000 0.0703 0.9653  1 Mo 2.50
Mo2 0.0000 0.4297 0.5347  1 Mo 2.50
Tl1 0.5000 0.2500 0.2500  2 Tl 2.92, 4 Mo 2.97, 2 Hg 2.98

Entry from Alexandria: an optimized crystal structure of TlHgMo2 (PBE-GGA).

Calculated values
DFT formation energy	774	meV per atom
excess energy over the best structure of this formula in the dataset	315	meV per atom
V	18.88	A^3/atom
magnetic moment	0.00	μB per cell

abc: 3.3116 4.7404 4.8107
angles: 90.00 90.00 90.00
Closest atoms and distances in Å follow each position.
Fractional positions:
Hg1 0.0000 0.5000 0.5000  4 Tl 2.89, 4 Mo 2.92
Mo1 0.0000 0.0000 0.0000  4 Mo 2.89, 4 Tl 2.92
Mo2 0.5000 0.5000 0.0000  4 Mo 2.89, 4 Hg 2.92
Tl1 0.5000 0.0000 0.5000  4 Hg 2.89, 4 Mo 2.92

Entry from Alexandria: an optimized crystal structure of TlHgMo2 (PBE-GGA).

Calculated values
DFT formation energy	740	meV per atom
excess energy over the best structure of this formula in the dataset	281	meV per atom
V	18.91	A^3/atom
magnetic moment	0.00	μB per cell

abc: 5.1535 5.1535 5.2571
angles: 86.43 86.43 32.89
Closest atoms and distances in Å follow each position.
Fractional positions:
Hg1 0.7477 0.7477 0.7485  3 Tl 2.84-3.09, 7 Mo 2.90-3.12, 2 Hg 2.92
Mo1 0.0068 0.0068 0.0221  3 Mo 2.66-2.92, 2 Tl 2.92
Mo2 0.2460 0.2460 0.2249  3 Mo 2.66-2.92, 2 Hg 2.90
Tl1 0.4995 0.4995 0.5045  3 Hg 2.84-3.09, 2 Tl 2.92, 7 Mo 2.92-3.12

Entry from Alexandria: an optimized crystal structure of TlHgMo2 (PBE-GGA).

Calculated values
DFT formation energy	922	meV per atom
excess energy over the best structure of this formula in the dataset	463	meV per atom
V	18.92	A^3/atom
magnetic moment	0.00	μB per cell

abc: 4.7476 4.7476 4.7476
angles: 60.00 60.00 60.00
Closest atoms and distances in Å follow each position.
Fractional positions:
Hg1 0.5000 0.5000 0.5000  4 Mo 2.91, 4 Tl 2.91
Mo1 0.0000 0.0000 0.0000  4 Tl 2.91, 4 Mo 2.91
Mo2 0.2500 0.2500 0.2500  4 Mo 2.91, 4 Hg 2.91
Tl1 0.7500 0.7500 0.7500  4 Hg 2.91, 4 Mo 2.91

Entry from Alexandria: an optimized crystal structure of TlHgMo2 (PBE-GGA).

Calculated values
DFT formation energy	765	meV per atom
excess energy over the best structure of this formula in the dataset	306	meV per atom
V	18.51	A^3/atom
magnetic moment	0.00	μB per cell

abc: 5.1663 5.1663 5.1663
angles: 132.27 132.27 69.81
Closest atoms and distances in Å follow each position.
Fractional positions:
Hg1 0.7500 0.2500 0.5000  8 Mo 2.96-2.98, 4 Tl 2.98
Mo1 0.0000 0.0000 0.0000  4 Tl 2.96, 4 Hg 2.98, 4 Mo 2.98
Mo2 0.2500 0.7500 0.5000  4 Hg 2.96, 4 Tl 2.98, 4 Mo 2.98
Tl1 0.5000 0.5000 0.0000  8 Mo 2.96-2.98, 4 Hg 2.98

> Which value of magnetic moment does entry 5 give?

0.00 μB per cell